Entry from Alexandria: a relaxed structure of Ag2PdRu (GGA-PBE).

a = 6.420 Å, b = 6.420 Å, c = 6.420 Å
α = 90.00°, β = 90.00°, γ = 90.00°
Fractional positions:
Ag: 0.250 0.250 0.250
Ag: 0.250 0.250 0.750
Ag: 0.250 0.750 0.250
Ag: 0.250 0.750 0.750
Ag: 0.750 0.250 0.250
Ag: 0.750 0.250 0.750
Ag: 0.750 0.750 0.250
Ag: 0.750 0.750 0.750
Pd: 0.000 0.000 0.000
Pd: 0.000 0.500 0.500
Pd: 0.500 0.000 0.500
Pd: 0.500 0.500 0.000
Ru: 0.000 0.000 0.500
Ru: 0.000 0.500 0.000
Ru: 0.500 0.000 0.000
Ru: 0.500 0.500 0.500

Output
VASP energy: -4.552 eV per atom
DFT formation energy: 0.491 eV/atom
relative energy among the computed polymorphs: 0 meV per atom
D(E_F): 1.87 states/eV/f.u.